## a
Below is an optimized crystal structure of BaCdAg3, with properties calculated at the PBE level.

Unit cell a=5.684 b=9.729 c=7.560 alpha=130.05 beta=112.08 gamma=90.00
Positions (direct):
1 Ag 0.250 0.917 0.500
2 Ag 0.750 0.083 0.500
3 Ag 0.766 0.766 0.033
4 Ag 0.266 0.766 0.033
5 Ag 0.234 0.234 0.967
6 Ag 0.734 0.234 0.967
7 Cd 0.000 0.500 0.000
8 Cd 0.500 0.000 0.000
9 Ba 0.250 0.298 0.500
10 Ba 0.750 0.702 0.500



## b
Below is an optimized crystal structure of BaCdAg3, with properties calculated at the PBE level.

Unit cell a=5.319 b=5.319 c=5.319 alpha=90.00 beta=90.00 gamma=90.00
Positions (direct):
1 Ba 0.500 0.500 0.500
2 Ag 0.000 0.500 0.000
3 Ag 0.000 0.000 0.500
4 Ag 0.500 0.000 0.000
5 Cd 0.000 0.000 0.000



What should be chosen as the least stable of them? Choose b.



## a
Below is an optimized crystal structure of Ba4Cd3Ag, with properties calculated at the PBE level.

Unit cell a=4.218 b=4.218 c=16.971 alpha=90.00 beta=90.00 gamma=90.00
Positions (direct):
1 Ba 0.000 0.000 0.880
2 Ba 0.000 0.000 0.120
3 Ba 0.000 0.000 0.374
4 Ba 0.000 0.000 0.626
5 Ag 0.500 0.500 0.000
6 Cd 0.500 0.500 0.753
7 Cd 0.500 0.500 0.247
8 Cd 0.500 0.500 0.500



## b
Below is an optimized crystal structure of Ba4Cd3Ag, with properties calculated at the PBE level.

Unit cell a=4.717 b=5.302 c=12.750 alpha=90.00 beta=90.00 gamma=90.00
Positions (direct):
1 Cd 0.000 0.000 0.430
2 Cd 0.000 0.500 0.567
3 Cd 0.500 0.000 0.936
4 Ba 0.500 0.500 0.353
5 Ba 0.000 0.000 0.140
6 Ba 0.500 0.000 0.643
7 Ba 0.000 0.500 0.865
8 Ag 0.500 0.500 0.065



What should be chosen as the least stable of them? Choose b.



## a
Below is an optimized crystal structure of Ba2CdAg2, with properties calculated at the PBE level.

Unit cell a=9.420 b=9.420 c=4.225 alpha=90.00 beta=90.00 gamma=90.00
Positions (direct):
1 Ba 0.327 0.827 0.000
2 Ba 0.173 0.327 0.000
3 Ba 0.827 0.673 0.000
4 Ba 0.673 0.173 0.000
5 Cd 0.000 0.000 0.000
6 Cd 0.500 0.500 0.000
7 Ag 0.112 0.612 0.500
8 Ag 0.388 0.112 0.500
9 Ag 0.888 0.388 0.500
10 Ag 0.612 0.888 0.500



## b
Below is an optimized crystal structure of Ba2CdAg2, with properties calculated at the PBE level.

Unit cell a=4.071 b=4.071 c=10.518 alpha=78.84 beta=78.84 gamma=90.00
Positions (direct):
1 Ag 0.250 0.750 0.500
2 Ag 0.750 0.250 0.500
3 Ba 0.609 0.609 0.782
4 Ba 0.391 0.391 0.218
5 Cd 0.000 0.000 0.000



## c
Below is an optimized crystal structure of Ba2CdAg2, with properties calculated at the PBE level.

Unit cell a=8.592 b=8.592 c=4.585 alpha=90.00 beta=90.00 gamma=90.00
Positions (direct):
1 Ba 0.681 0.819 0.500
2 Ba 0.319 0.181 0.500
3 Ba 0.181 0.681 0.500
4 Ba 0.819 0.319 0.500
5 Ag 0.882 0.618 0.000
6 Ag 0.118 0.382 0.000
7 Ag 0.382 0.882 0.000
8 Ag 0.618 0.118 0.000
9 Cd 0.500 0.500 0.000
10 Cd 0.000 0.000 0.000



What should be chosen as the least stable of them? Choose a.



## a
Below is an optimized crystal structure of Ba2CdAg2, with properties calculated at the PBE level.

Unit cell a=4.968 b=6.721 c=11.106 alpha=83.30 beta=77.07 gamma=68.31
Positions (direct):
1 Cd 0.772 0.099 0.356
2 Cd 0.228 0.901 0.644
3 Ag 0.010 0.865 0.114
4 Ag 0.990 0.135 0.886
5 Ag 0.135 0.288 0.441
6 Ag 0.865 0.712 0.559
7 Ba 0.515 0.307 0.663
8 Ba 0.693 0.728 0.885
9 Ba 0.485 0.693 0.337
10 Ba 0.307 0.272 0.115



## b
Below is an optimized crystal structure of Ba2CdAg2, with properties calculated at the PBE level.

Unit cell a=6.493 b=6.493 c=6.242 alpha=58.66 beta=58.66 gamma=90.00
Positions (direct):
1 Ba 0.750 0.250 0.500
2 Ba 0.250 0.750 0.500
3 Cd 0.000 0.000 0.000
4 Ag 0.341 0.341 0.317
5 Ag 0.659 0.659 0.683



What should be chosen as the least stable of them? Choose b.